(1)
{
  "formula": "Zn2NiSb",
  "functional": "GGA-PBEsol",
  "state": "optimized geometry",
  "lattice": [[-0.3459, -3.3927, 0.9051], [0.9257, 0.7851, 3.2965], [-4.8712, 0.8102, 1.1750]],
  "species": ["Zn", "Zn", "Ni", "Sb"],
  "frac_coords": [[0.0000, 0.0000, 0.7686], [0.0000, 0.0000, 0.2314], [0.5000, 0.5000, 0.0000], [0.5000, 0.5000, 0.5000]],
  "dft_energy_ev_per_atom": -3.400,
  "formation_energy_uncorrected_ev_per_atom": 0.070,
  "crystal_system": "orthorhombic",
  "dos_ef_per_ev_cell": 1.4,
  "space_group": "Pmmm (47)"
}

---

(2)
{
  "formula": "CaMg2Hg",
  "functional": "GGA-PBEsol",
  "state": "optimized geometry",
  "lattice": [[-2.2370, 0.8067, 2.7836], [-3.1934, -3.8624, -1.4470], [5.3351, -1.7869, 2.3977]],
  "species": ["Ca", "Mg", "Mg", "Hg"],
  "frac_coords": [[0.0000, 0.5000, 0.0000], [0.2186, 0.2186, 0.4372], [0.7814, 0.7814, 0.5628], [0.5000, 0.0000, 0.0000]],
  "dft_energy_ev_per_atom": -1.788,
  "crystal_system": "orthorhombic",
  "dos_ef_per_ev_cell": 1.9,
  "space_group": "Immm (71)",
  "delta_e_f_ev_per_fu": -1.02
}

---

(3)
{
  "formula": "YAlF2",
  "functional": "GGA-PBEsol",
  "state": "optimized geometry",
  "lattice": [[-2.5338, -0.6974, 3.5733], [1.0305, -3.2372, 2.8520], [1.5348, 1.0072, 4.0380]],
  "species": ["F", "F", "Y", "Al"],
  "frac_coords": [[0.7500, 0.7500, 0.7500], [0.2500, 0.2500, 0.2500], [0.5000, 0.5000, 0.5000], [0.0000, 0.0000, 0.0000]],
  "dft_energy_ev_per_atom": -5.265,
  "formation_energy_uncorrected_ev_per_atom": -1.573,
  "crystal_system": "cubic",
  "dos_ef_per_ev_cell": 3.7,
  "space_group": "Fm-3m (225)"
}

---

(4)
{
  "formula": "Re2SiBr",
  "functional": "GGA-PBEsol",
  "state": "optimized geometry",
  "lattice": [[2.8919, 0.0000, 0.0000], [1.4459, 2.5044, 0.0000], [1.4459, 0.8348, 8.2085]],
  "species": ["Br", "Si", "Re", "Re"],
  "frac_coords": [[0.0000, 0.0000, 0.0000], [0.5000, 0.5000, 0.5000], [0.2445, 0.2445, 0.2664], [0.7555, 0.7555, 0.7336]],
  "dft_energy_ev_per_atom": -8.042,
  "formation_energy_uncorrected_ev_per_atom": 0.528,
  "crystal_system": "trigonal",
  "dos_ef_per_ev_cell": 2.4,
  "space_group": "R-3m (166)"
}

---

(5)
{
  "formula": "Eu2Mo2WO12",
  "functional": "GGA-PBEsol",
  "state": "optimized geometry",
  "lattice": [[-0.2544, -0.9871, -6.7587], [-5.2752, -2.8892, 3.2471], [-2.9583, 11.1584, 0.6367]],
  "species": ["O", "O", "O", "O", "O", "O", "O", "O", "O", "O", "O", "O", "O", "O", "O", "O", "O", "O", "O", "O", "O", "O", "O", "O", "W", "W", "Eu", "Eu", "Eu", "Eu", "Mo", "Mo", "Mo", "Mo"],
  "frac_coords": [[0.4740, 0.5532, 0.8890], [0.2837, 0.1559, 0.6998], [0.1076, 0.1760, 0.9480], [0.8441, 0.7163, 0.8002], [0.9105, 0.4904, 0.2796], [0.4468, 0.5260, 0.6110], [0.1760, 0.1076, 0.4480], [0.5532, 0.4740, 0.3890], [0.1559, 0.2837, 0.1998], [0.8287, 0.3996, 0.9164], [0.7297, 0.1429, 0.0463], [0.1429, 0.7297, 0.5463], [0.3996, 0.8287, 0.4164], [0.8571, 0.2703, 0.4537], [0.4904, 0.9105, 0.7796], [0.5260, 0.4468, 0.1110], [0.5096, 0.0895, 0.2204], [0.8240, 0.8924, 0.5520], [0.2703, 0.8571, 0.9537], [0.8924, 0.8240, 0.0520], [0.0895, 0.5096, 0.7204], [0.1713, 0.6004, 0.0836], [0.7163, 0.8441, 0.3002], [0.6004, 0.1713, 0.5836], [0.6198, 0.3802, 0.2500], [0.3802, 0.6198, 0.7500], [0.8027, 0.5489, 0.5914], [0.1973, 0.4511, 0.4086], [0.4511, 0.1973, 0.9086], [0.5489, 0.8027, 0.0914], [0.0225, 0.3034, 0.0594], [0.9775, 0.6966, 0.9406], [0.6966, 0.9775, 0.4406], [0.3034, 0.0225, 0.5594]],
  "dft_energy_ev_per_atom": -9.473,
  "formation_energy_uncorrected_ev_per_atom": -2.328,
  "crystal_system": "monoclinic",
  "dos_ef_per_ev_cell": 55.3,
  "space_group": "C2/c (15)"
}

---

(6)
{
  "formula": "Zn3Fe8CoO16",
  "functional": "GGA-PBEsol",
  "state": "optimized geometry",
  "lattice": [[-4.7767, 2.0584, 2.3100], [-2.4486, -5.1124, -0.5077], [2.6802, -2.0122, 7.3352]],
  "species": ["Fe", "Fe", "Fe", "Fe", "Fe", "Fe", "Fe", "Fe", "O", "O", "O", "O", "O", "O", "O", "O", "O", "O", "O", "O", "O", "O", "O", "O", "Zn", "Zn", "Zn", "Co"],
  "frac_coords": [[0.5000, 0.7495, 0.3723], [0.0000, 0.2538, 0.8753], [0.2505, 0.5000, 0.6277], [0.2538, 0.0000, 0.1247], [0.5000, 0.2505, 0.3723], [0.0000, 0.7462, 0.8753], [0.7495, 0.5000, 0.6277], [0.7462, 0.0000, 0.1247], [0.7705, 0.5000, 0.8651], [0.0000, 0.2767, 0.6392], [0.7780, 0.0000, 0.8883], [0.5000, 0.7705, 0.1349], [0.5000, 0.2759, 0.6100], [0.7241, 0.5000, 0.3900], [0.7233, 0.0000, 0.3608], [0.5000, 0.7241, 0.6100], [0.2295, 0.5000, 0.8651], [0.0000, 0.7233, 0.6392], [0.0000, 0.2220, 0.1117], [0.2759, 0.5000, 0.3900], [0.5000, 0.2295, 0.1349], [0.2767, 0.0000, 0.3608], [0.0000, 0.7780, 0.1117], [0.2220, 0.0000, 0.8883], [0.5000, 0.0000, 0.7504], [0.0000, 0.5000, 0.2496], [0.0000, 0.0000, 0.5000], [0.5000, 0.5000, 0.0000]],
  "dft_energy_ev_per_atom": -7.257,
  "formation_energy_uncorrected_ev_per_atom": -1.251,
  "crystal_system": "tetragonal",
  "dos_ef_per_ev_cell": 24.6,
  "space_group": "P-4m2 (115)"
}

---

(7)
{
  "formula": "Mg2SiAg",
  "functional": "GGA-PBEsol",
  "state": "optimized geometry",
  "lattice": [[-0.2633, -3.6934, 1.2389], [0.3780, -1.3622, -3.9806], [4.1976, -0.1485, 0.4494]],
  "species": ["Ag", "Mg", "Mg", "Si"],
  "frac_coords": [[0.5000, 0.0000, 0.0000], [0.0000, 0.5000, 0.0000], [0.0000, 0.0000, 0.5000], [0.5000, 0.5000, 0.5000]],
  "dft_energy_ev_per_atom": -3.204,
  "formation_energy_uncorrected_ev_per_atom": -0.081,
  "crystal_system": "tetragonal",
  "dos_ef_per_ev_cell": 1.4,
  "space_group": "P4/mmm (123)"
}

---

(8)
{
  "formula": "ZnSiC3",
  "functional": "GGA-PBEsol",
  "state": "optimized geometry",
  "lattice": [[3.7475, 0.0000, 0.0000], [0.0000, 3.7475, 0.0000], [0.0000, 0.0000, 3.7475]],
  "species": ["C", "C", "C", "Zn", "Si"],
  "frac_coords": [[0.0000, 0.5000, 0.0000], [0.5000, 0.0000, 0.0000], [0.0000, 0.0000, 0.5000], [0.5000, 0.5000, 0.5000], [0.0000, 0.0000, 0.0000]],
  "dft_energy_ev_per_atom": -5.264,
  "formation_energy_uncorrected_ev_per_atom": 1.988,
  "crystal_system": "cubic",
  "dos_ef_per_ev_cell": 2.5,
  "space_group": "Pm-3m (221)"
}

---

(9)
{
  "formula": "Sr2ScSb",
  "functional": "GGA-PBEsol",
  "state": "optimized geometry",
  "lattice": [[4.1088, 0.0000, 0.0000], [0.0000, 5.5230, 0.0000], [-2.0544, -2.7615, 5.9845]],
  "species": ["Sr", "Sr", "Sb", "Sc"],
  "frac_coords": [[0.0077, 0.0077, 0.0155], [0.2123, 0.7123, 0.4246], [0.4736, 0.4736, 0.9472], [0.8064, 0.3064, 0.6127]],
  "dft_energy_ev_per_atom": -4.121,
  "formation_energy_uncorrected_ev_per_atom": -0.410,
  "crystal_system": "orthorhombic",
  "dos_ef_per_ev_cell": 2.8,
  "space_group": "Imm2 (44)"
}

---

(10)
{
  "formula": "Hf2NiRuAu",
  "functional": "GGA-PBEsol",
  "state": "optimized geometry",
  "lattice": [[4.7498, 0.0000, 0.0000], [0.0000, 4.9424, 0.0000], [0.0000, 0.0000, 4.9424]],
  "species": ["Ni", "Hf", "Hf", "Au", "Ru"],
  "frac_coords": [[0.5000, 0.5000, 0.5000], [0.0000, 0.0000, 0.5000], [0.0000, 0.5000, 0.0000], [0.0000, 0.0000, 0.0000], [0.5000, 0.0000, 0.0000]],
  "dft_energy_ev_per_atom": -6.725,
  "crystal_system": "tetragonal",
  "dos_ef_per_ev_cell": 7.3,
  "space_group": "P4/mmm (123)",
  "delta_e_f_ev_per_fu": 7.64
}

---

(11)
{
  "formula": "HfZn3Te",
  "functional": "GGA-PBEsol",
  "state": "optimized geometry",
  "lattice": [[-3.9111, -3.0371, 0.0720], [0.5982, -0.8850, -4.8358], [2.9785, -3.8103, 1.0658]],
  "species": ["Te", "Zn", "Zn", "Zn", "Hf"],
  "frac_coords": [[0.0000, 0.0000, 0.0000], [0.0000, 0.0000, 0.5000], [0.5000, 0.0000, 0.0000], [0.0000, 0.5000, 0.0000], [0.5000, 0.5000, 0.5000]],
  "dft_energy_ev_per_atom": -2.636,
  "formation_energy_uncorrected_ev_per_atom": 1.119,
  "crystal_system": "cubic",
  "dos_ef_per_ev_cell": 4.3,
  "space_group": "Pm-3m (221)"
}

---

(12)
{
  "formula": "LaPb3",
  "functional": "GGA-PBEsol",
  "state": "optimized geometry",
  "lattice": [[4.8665, 0.0000, 0.0000], [0.0000, 4.8665, 0.0000], [0.0000, 0.0000, 4.8665]],
  "species": ["Pb", "Pb", "Pb", "La"],
  "frac_coords": [[0.5000, 0.5000, 0.0000], [0.5000, 0.0000, 0.5000], [0.0000, 0.5000, 0.5000], [0.0000, 0.0000, 0.0000]],
  "dft_energy_ev_per_atom": -4.814,
  "crystal_system": "cubic",
  "dos_ef_per_ev_cell": 2.8,
  "space_group": "Pm-3m (221)",
  "delta_e_f_ev_per_fu": -1.91
}